(1)
This record from Alexandria describes an optimized crystal structure of CrHg2Ru. The functional is GGA-PBE.

The value obtained for the total magnetic moment is 4.98 μB/cell. The calculated formation energy is 516 meV/atom. For the volume, the calculation gives 17.961 Å³ per atom. The value obtained for the excess energy over the best structure of this formula in the dataset is 21.2 kJ per mole of atoms. The total DFT energy (no corrections) is -4.360 eV per atom.

The space group is Imm2 (No. 44) and the conventional cell measures 2.9802, 4.8635 and 9.9134 Å, with angles of 90.00, 90.00 and 90.00 degrees. Symmetry generates all atoms from Cr at (0.0000, 0.0000, 0.0000), Hg at (0.0000, 0.0000, 0.5427), Hg at (0.0000, 0.5000, 0.7618) and Ru at (0.0000, 0.5000, 0.3055).

=====

(2)
This record from Alexandria describes an optimized crystal structure of HfTi4In6. The functional is GGA-PBE.

The value obtained for the total magnetic moment is 7.80 μB/cell. The calculated formation energy is 224 meV/atom. For the volume, the calculation gives 24.303 Å³ per atom. The total DFT energy (no corrections) is -5.045 eV per atom.

The space group is I-42m (No. 121) and the conventional cell measures 7.2479, 7.2479 and 10.1779 Å, with angles of 90.00, 90.00 and 90.00 degrees. Symmetry generates all atoms from Hf at (0.0000, 0.0000, 0.0000), Ti at (0.1558, 0.1558, 0.4435), In at (0.0000, 0.5000, 0.0000) and In at (0.1694, 0.1694, 0.7318).

=====

(3)
This record from Alexandria describes an optimized crystal structure of Rb2VCrCl6. The functional is GGA-PBE.

The value obtained for the total magnetic moment is 14.00 μB/cell. For the volume, the calculation gives 24.614 Å³ per atom. The value obtained for the excess energy over the best structure of this formula in the dataset is 4.8 kJ per mole of atoms. The total DFT energy (no corrections) is -4.519 eV per atom.

The space group is I4/mmm (No. 139) and the conventional cell measures 7.3576, 7.3576 and 9.0939 Å, with angles of 90.00, 90.00 and 90.00 degrees. Symmetry generates all atoms from Rb at (0.0000, 0.5000, 0.2500), V at (0.0000, 0.0000, 0.0000), Cr at (0.0000, 0.0000, 0.5000), Cl at (0.0000, 0.0000, 0.2518) and Cl at (0.2426, 0.2426, 0.0000).